Record 1
Entry from Alexandria via LeMat-Bulk: a relaxed structure of RbICl5 (GGA-PBE).

Summary:
- raw formation energy (kcal/mol of atoms) = -12.831
- ρ (g/cm³) = 2.3
- calculated total energy (eV per atom) = -2.235
- SG = C2/c
- magnetic moment (Bohr magnetons per cell) = 1.98

Structure (extended XYZ):
```
14
Lattice="6.983 0.186 -0.934 -0.079 6.985 -0.934 -3.667 -3.809 12.338" Properties=species:S:1:pos:R:3 pbc="T T T"
Rb 5.374 3.355 1.684
Rb -2.137 0.008 8.787
I 0.000 0.000 0.000
I 1.619 1.681 5.235
Cl -0.715 -0.336 2.383
Cl -0.158 4.323 5.625
Cl 1.310 0.954 7.619
Cl 2.947 5.692 1.684
Cl 0.609 -1.947 11.015
Cl 2.628 5.310 -0.544
Cl 0.290 -2.329 8.787
Cl 1.927 2.408 2.852
Cl 3.396 -0.960 4.846
Cl 3.952 3.698 8.088
```

---

Record 2
Entry from Alexandria via LeMat-Bulk: a relaxed structure of RbICl2 (GGA-PBE).

Summary:
- raw formation energy (kcal/mol of atoms) = -25.154
- ρ (g/cm³) = 2.4
- calculated total energy (eV per atom) = -2.644
- SG = P6_3/mmc
- magnetic moment (Bohr magnetons per cell) = 0.00

Structure (extended XYZ):
```
8
Lattice="-4.927 -0.191 -2.125 0.823 -1.695 5.028 -2.853 14.400 5.322" Properties=species:S:1:pos:R:3 pbc="T T T"
Rb -1.426 7.200 2.661
Rb 0.000 0.000 0.000
I -5.150 10.108 4.251
I -1.807 2.406 3.974
Cl -4.679 7.728 3.371
Cl -5.621 12.488 5.130
Cl -2.278 4.786 4.853
Cl -1.335 0.027 3.095
```

---

Record 3
Entry from Alexandria via LeMat-Bulk: a relaxed structure of Rb7ICl5 (GGA-PBE).

Summary:
- raw formation energy (kcal/mol of atoms) = -38.701
- ρ (g/cm³) = 2.7
- calculated total energy (eV per atom) = -3.029
- SG = Cm
- magnetic moment (Bohr magnetons per cell) = 0.68

Structure (extended XYZ):
```
26
Lattice="4.829 0.000 0.000 -2.414 8.042 -0.011 0.000 -0.108 28.973" Properties=species:S:1:pos:R:3 pbc="T T T"
Rb 0.000 7.459 7.217
Rb 2.414 0.479 21.742
Rb 2.414 2.188 0.961
Rb 0.000 5.760 27.996
Rb 0.000 5.814 15.448
Rb 2.414 2.129 13.517
Rb 0.000 2.698 4.958
Rb 2.414 5.247 24.004
Rb 2.414 5.289 19.436
Rb 0.000 2.649 9.532
Rb 2.414 6.574 2.972
Rb 0.000 1.375 25.982
Rb 0.000 1.428 17.485
Rb 2.414 6.513 11.479
I 2.414 4.513 7.279
I 0.000 3.423 21.696
Cl 0.000 -0.101 28.969
Cl 2.414 3.581 26.911
Cl 0.000 4.366 2.048
Cl 2.414 0.574 10.574
Cl 0.000 7.367 18.393
Cl 0.000 -0.049 14.488
Cl 0.000 4.313 12.430
Cl 2.414 3.630 16.535
Cl 0.000 7.315 25.057
Cl 2.414 0.632 3.900
```

---

Record 4
Entry from Alexandria via LeMat-Bulk: a relaxed structure of RbI4Cl12 (GGA-PBE).

Summary:
- raw formation energy (kcal/mol of atoms) = -6.602
- ρ (g/cm³) = 2.6
- calculated total energy (eV per atom) = -2.011
- SG = Im-3
- magnetic moment (Bohr magnetons per cell) = 0.00

Structure (extended XYZ):
```
17
Lattice="-1.892 9.017 2.022 -3.169 -5.516 6.965 9.320 -1.129 -0.912" Properties=species:S:1:pos:R:3 pbc="T T T"
Rb 0.000 0.000 0.000
I -1.584 -2.758 3.482
I -0.946 4.509 1.011
I 2.130 1.186 4.038
I 4.660 -0.564 -0.456
Cl 7.102 4.299 2.325
Cl 0.279 -0.785 3.711
Cl 6.239 -2.203 1.041
Cl 3.382 -4.137 6.765
Cl -1.979 4.575 7.034
Cl 3.981 3.157 4.364
Cl 0.574 2.809 2.500
Cl 3.685 -0.436 5.575
Cl 0.877 6.509 1.310
Cl 0.905 2.053 6.310
Cl 3.354 0.319 1.765
Cl -2.842 -1.927 5.750
```

---

Record 5
Entry from Alexandria via LeMat-Bulk: a relaxed structure of RbICl4 (GGA-PBE).

Summary:
- raw formation energy (kcal/mol of atoms) = -19.356
- excess energy over the best structure of this formula in the dataset (meV/atom) = 3
- ρ (g/cm³) = 2.7
- calculated total energy (eV per atom) = -2.490
- SG = C2/c
- magnetic moment (Bohr magnetons per cell) = 0.00

Structure (extended XYZ):
```
12
Lattice="5.976 0.001 0.001 2.989 6.559 1.887 -0.001 -0.123 10.960" Properties=species:S:1:pos:R:3 pbc="T T T"
Rb 7.467 6.528 4.628
Rb 1.496 -0.091 8.221
I 1.494 3.279 0.944
I 4.482 3.218 6.424
Cl 7.491 5.695 11.921
Cl 4.504 0.681 6.408
Cl 1.472 0.742 0.927
Cl 4.460 5.756 6.440
Cl 3.404 3.273 2.604
Cl 6.392 3.225 4.764
Cl 5.559 3.164 10.244
Cl 2.571 3.212 8.084
```

---

Record 6
Entry from Alexandria via LeMat-Bulk: a relaxed structure of RbICl3 (GGA-PBE).

Summary:
- raw formation energy (kcal/mol of atoms) = -20.512
- excess energy over the best structure of this formula in the dataset (meV/atom) = 0
- ρ (g/cm³) = 2.8
- calculated total energy (eV per atom) = -2.501
- SG = P-1
- magnetic moment (Bohr magnetons per cell) = 0.00

Structure (extended XYZ):
```
10
Lattice="5.302 0.162 0.622 0.422 8.376 0.689 1.390 2.711 8.981" Properties=species:S:1:pos:R:3 pbc="T T T"
Rb 1.494 4.230 6.970
Rb 2.546 5.544 0.980
I 5.577 8.611 5.944
I 3.764 1.325 2.627
Cl 3.909 4.982 9.244
Cl 1.519 7.504 7.686
Cl 2.856 3.382 3.740
Cl 4.320 2.180 6.660
Cl 5.021 7.756 1.911
Cl 1.182 6.392 4.209
```

---

Record 7
Entry from Alexandria via LeMat-Bulk: a relaxed structure of Rb2ICl (GGA-PBE).

Summary:
- raw formation energy (kcal/mol of atoms) = -37.852
- excess energy over the best structure of this formula in the dataset (meV/atom) = 65
- ρ (g/cm³) = 3.6
- calculated total energy (eV per atom) = -2.974
- SG = P4/mmm
- magnetic moment (Bohr magnetons per cell) = 0.00

Structure (extended XYZ):
```
4
Lattice="-1.844 1.994 -3.273 -3.571 -2.213 0.664 -2.792 6.093 5.286" Properties=species:S:1:pos:R:3 pbc="T T T"
I -4.104 2.937 1.339
Rb -2.151 4.694 4.072
Rb -0.641 1.399 1.214
Cl -2.708 -0.109 -1.304
```

---

Record 8
Entry from Alexandria via LeMat-Bulk: a relaxed structure of RbICl (GGA-PBE).

Summary:
- raw formation energy (kcal/mol of atoms) = -29.639
- excess energy over the best structure of this formula in the dataset (meV/atom) = 0
- ρ (g/cm³) = 3.1
- calculated total energy (eV per atom) = -2.740
- SG = P1
- magnetic moment (Bohr magnetons per cell) = 0.00

Structure (extended XYZ):
```
6
Lattice="-2.464 3.914 1.090 1.791 -0.097 4.366 7.099 10.946 -0.048" Properties=species:S:1:pos:R:3 pbc="T T T"
Rb 3.186 8.807 2.528
Rb 0.633 4.803 0.948
I 5.136 11.745 4.370
I 0.470 1.777 3.478
Cl 4.985 6.603 4.294
Cl 0.624 6.909 3.549
```

---

Record 9
Entry from Alexandria via LeMat-Bulk: a relaxed structure of Rb2I2Cl (GGA-PBE).

Summary:
- raw formation energy (kcal/mol of atoms) = -24.807
- excess energy over the best structure of this formula in the dataset (meV/atom) = 97
- ρ (g/cm³) = 3.4
- calculated total energy (eV per atom) = -2.452
- SG = P4/mbm
- magnetic moment (Bohr magnetons per cell) = 2.00

Structure (extended XYZ):
```
10
Lattice="-4.272 -0.187 8.662 6.242 -6.764 2.932 3.026 3.472 1.567" Properties=species:S:1:pos:R:3 pbc="T T T"
I 3.807 -5.802 5.502
I 0.447 -4.569 9.258
I -1.837 -1.150 6.093
I 1.524 -2.383 2.337
Rb 4.942 -2.732 4.060
Rb 3.978 -4.096 8.941
Rb 0.055 -0.748 9.102
Rb 1.018 0.615 4.220
Cl 0.000 0.000 0.000
Cl 0.985 -3.476 5.797
```

---

Record 10
Entry from Alexandria via LeMat-Bulk: a relaxed structure of Rb5ICl8 (GGA-PBE).

Summary:
- raw formation energy (kcal/mol of atoms) = -32.831
- ρ (g/cm³) = 2.7
- calculated total energy (eV per atom) = -2.935
- SG = I-4
- magnetic moment (Bohr magnetons per cell) = 0.37

Structure (extended XYZ):
```
14
Lattice="-3.813 3.417 -7.079 7.695 -3.702 -1.845 -4.692 -6.498 3.478" Properties=species:S:1:pos:R:3 pbc="T T T"
Rb -1.122 -5.184 -2.556
Rb 5.037 -5.661 -1.518
Rb -0.338 0.610 -3.244
Rb 1.502 -5.100 0.816
Rb -5.197 -3.331 -3.575
I 2.692 -2.693 -4.054
Cl 1.399 -2.554 -1.870
Cl 0.645 -3.651 -5.217
Cl 0.490 0.104 -6.315
Cl -2.276 -2.116 -2.968
Cl 1.980 -6.413 -2.199
Cl 4.829 -2.039 -2.842
Cl 3.895 -2.526 -6.287
Cl -1.814 -5.142 0.589
```

---

Record 11
Entry from Alexandria via LeMat-Bulk: a relaxed structure of Rb12I3Cl5 (GGA-PBE).

Summary:
- raw formation energy (kcal/mol of atoms) = -29.443
- ρ (g/cm³) = 2.3
- calculated total energy (eV per atom) = -2.551
- SG = Ia-3d
- magnetic moment (Bohr magnetons per cell) = 0.00

Structure (extended XYZ):
```
80
Lattice="18.188 0.000 0.000 -6.063 17.148 0.000 -6.063 -8.574 14.851" Properties=species:S:1:pos:R:3 pbc="T T T"
I 10.610 5.359 1.856
I 10.610 11.789 1.856
I -1.516 7.502 9.282
I 1.516 -1.072 5.569
I 13.641 0.000 3.713
I 1.516 8.574 3.713
I 4.547 0.000 11.138
I -7.578 8.574 11.138
I 4.547 9.646 9.282
I 7.578 1.072 5.569
I -4.547 -3.215 12.994
I -4.547 3.215 12.994
Cl -1.516 4.287 3.713
Cl -3.031 8.574 0.000
Cl 0.000 0.000 0.000
Cl 4.547 3.215 1.856
Cl 6.063 -4.287 7.425
Cl 6.063 8.574 0.000
Cl -4.547 9.646 5.569
Cl 7.578 -5.359 12.994
Cl 7.578 7.502 5.569
Cl 1.516 -4.287 11.138
Cl 4.547 12.861 3.713
Cl 3.031 4.287 7.425
Cl 9.094 0.000 0.000
Cl -3.031 -4.287 7.425
Cl -1.516 1.072 9.282
Cl -1.516 13.933 1.856
Cl -6.063 4.287 7.425
Cl 10.610 -1.072 9.282
Cl 1.516 5.359 12.994
Cl 7.578 4.287 11.138
Rb 11.953 1.841 0.421
Rb 0.173 5.572 6.042
Rb 13.602 3.979 4.350
Rb 7.617 2.510 1.804
Rb 2.249 6.306 10.080
Rb 12.993 8.639 2.655
Rb -1.477 10.043 6.154
Rb -4.586 14.638 1.804
Rb 0.782 10.842 10.080
Rb 8.227 8.509 2.655
Rb 9.267 4.843 5.621
Rb 9.267 15.307 0.421
Rb -5.280 7.595 7.846
Rb 3.899 6.243 1.271
Rb -6.236 12.305 5.621
Rb 3.204 -3.002 8.809
Rb -0.782 1.290 3.076
Rb 3.899 10.841 1.383
Rb 7.617 13.169 4.350
Rb -0.867 6.307 1.383
Rb -3.814 9.864 11.775
Rb 4.508 7.104 6.154
Rb 8.312 9.553 7.846
Rb 6.930 -2.331 13.579
Rb 1.555 1.469 8.697
Rb -2.249 -0.979 7.004
Rb -0.867 10.905 1.271
Rb -1.555 -4.595 10.501
Rb 9.877 -1.290 3.076
Rb 6.930 2.267 13.467
Rb 2.164 -2.267 13.467
Rb 2.858 11.576 6.042
Rb 6.845 7.284 11.775
Rb 12.298 -3.731 9.230
Rb 11.343 0.979 7.004
Rb -3.204 -6.734 14.430
Rb 2.164 2.331 13.579
Rb 5.280 -2.268 4.771
Rb -2.164 0.065 12.196
Rb -3.204 3.731 9.230
Rb 10.649 -6.064 13.046
Rb 7.540 -1.469 8.697
Rb -1.555 6.064 13.046
Rb -6.930 -0.065 12.196
Rb 3.814 2.268 4.771
Rb -7.540 4.595 10.501
Rb 5.890 3.002 8.809
Rb -5.890 6.733 14.430
```

---

Record 12
Entry from Alexandria via LeMat-Bulk: a relaxed structure of Rb2ICl (GGA-PBE).

Summary:
- raw formation energy (kcal/mol of atoms) = -38.934
- excess energy over the best structure of this formula in the dataset (meV/atom) = 18
- ρ (g/cm³) = 3.1
- calculated total energy (eV per atom) = -3.021
- SG = R3m
- magnetic moment (Bohr magnetons per cell) = 0.00

Structure (extended XYZ):
```
4
Lattice="-4.610 -0.162 1.632 -1.056 -2.436 4.110 -0.518 6.274 6.498" Properties=species:S:1:pos:R:3 pbc="T T T"
Rb -0.823 4.685 5.477
Rb -1.583 0.723 2.934
I -3.088 1.857 6.131
Cl -4.298 4.523 10.313
```